# 1
## NaSb3P2O10 (PBE)

Data for a relaxed NaSb3P2O10 crystal.

* formation energy from raw total energies: -2872 kJ/mol of formula units
* energy: -0.477 Ry per atom
* magnetic moment: 0.000 μB/atom

a = 14.2447 Å, b = 6.7782 Å, c = 21.4257 Å
α = 90.00°, β = 90.00°, γ = 90.00°
With the nearest neighbours (Å) after each atom.
Space group Pca2_1 (No. 29)
Symmetry-distinct sites (fractional):
Na (0.1122, 0.1780, 0.0000)  4 O 2.39-2.47
Na (0.1320, 0.3032, 0.1948)  6 O 2.41-2.69
Sb (0.0102, 0.3605, 0.4771)  3 O 2.01-2.19
Sb (0.0110, 0.7884, 0.1356)  3 O 2.05-2.19
Sb (0.1099, 0.0114, 0.3421)  3 O 1.98-2.20
Sb (0.1385, 0.4607, 0.8537)  3 O 1.98-2.20
Sb (0.2326, 0.7029, 0.0588)  3 O 2.04-2.20
Sb (0.2426, 0.8393, 0.7171)  3 O 2.01-2.24
P (0.0360, 0.6943, 0.5997)  4 O 1.54-1.56
P (0.1034, 0.9625, 0.8703)  4 O 1.54-1.58
P (0.1462, 0.5151, 0.3247)  4 O 1.54-1.58
P (0.2188, 0.1874, 0.5954)  4 O 1.55-1.57
O (0.0027, 0.4676, 0.1445)  1 P 1.56
O (0.0233, 0.1184, 0.1109)  1 P 1.54
O (0.0271, 0.6350, 0.5299)  1 P 1.55
O (0.0284, 0.0014, 0.8173)  1 P 1.58
O (0.0498, 0.9200, 0.9321)  1 P 1.56
O (0.0687, 0.7401, 0.0496)  2 Sb 2.04-2.05
O (0.0811, 0.3339, 0.3168)  1 P 1.55
O (0.0870, 0.6911, 0.3479)  1 P 1.54
O (0.1005, 0.4923, 0.9422)  2 Sb 1.98-2.01
O (0.1136, 0.2308, 0.5785)  1 P 1.57
O (0.1420, 0.7291, 0.6152)  1 P 1.56
O (0.1496, 0.9906, 0.2537)  2 Sb 1.98-2.01
O (0.1635, 0.1506, 0.8795)  1 P 1.55
O (0.1682, 0.7916, 0.8506)  1 P 1.54
O (0.1750, 0.7507, 0.1444)  2 Sb 2.04
O (0.1963, 0.5579, 0.2615)  1 P 1.56
O (0.2201, 0.3736, 0.0859)  1 P 1.55
O (0.2227, 0.4642, 0.3757)  1 P 1.58
O (0.2250, 0.1232, 0.6649)  1 P 1.55
O (0.2429, 0.0257, 0.0502)  1 P 1.56



# 2
## Na3Sb3P2O14 (PBE)

Data for a relaxed Na3Sb3P2O14 crystal.

* formation energy from raw total energies: -3885 kJ/mol of formula units
* energy: -0.457 Ry per atom
* magnetic moment: 0.000 μB/atom

a = 6.3926 Å, b = 7.3247 Å, c = 12.5900 Å
α = 90.00°, β = 108.08°, γ = 90.00°
With the nearest neighbours (Å) after each atom.
Space group P2_1/c (No. 14)
Symmetry-distinct sites (fractional):
Na (0.0000, 0.0000, 0.0000)  8 O 2.50-2.68
Na (0.4844, 0.2017, 0.0685)  4 O 2.33-2.60
Sb (0.0000, 0.0000, 0.5000)  6 O 1.97-2.07
Sb (0.0312, 0.2427, 0.2580)  6 O 1.96-2.06
P (0.4119, 0.7358, 0.1614)  4 O 1.51-1.59
O (0.0341, 0.7009, 0.9024)  2 Sb 1.97
O (0.0694, 0.0010, 0.8059)  2 Sb 1.96-1.98
O (0.1213, 0.1898, 0.4223)  2 Sb 1.99-2.01
O (0.2941, 0.7276, 0.7518)  1 P 1.57
O (0.3203, 0.5506, 0.0989)  1 P 1.59
O (0.3478, 0.1948, 0.2637)  1 P 1.56
O (0.3890, 0.6076, 0.5808)  1 P 1.51



# 3
## NaScP2O (PBE)

Data for a relaxed NaScP2O crystal.

* formation energy from raw total energies: 202 kJ/mol of formula units
* energy: -0.314 Ry per atom
* ΔE to the lowest computed polymorph: 87.4 kJ/mol of atoms
* magnetic moment: 0.267 μB/atom

a = 4.7715 Å, b = 4.7715 Å, c = 3.9993 Å
α = 90.00°, β = 90.00°, γ = 90.00°
With the nearest neighbours (Å) after each atom.
Space group P4/mmm (No. 123)
Symmetry-distinct sites (fractional):
Na (0.0000, 0.0000, 0.0000)  2 O 2.00
Sc (0.5000, 0.5000, 0.5000)  8 P 3.11, 4 O 3.37
P (0.0000, 0.5000, 0.0000)  2 Na 2.39
O (0.0000, 0.0000, 0.5000)  2 Na 2.00



# 4
## NaScP2O (PBE)

Data for a relaxed NaScP2O crystal.

* formation energy from raw total energies: -235 kJ/mol of formula units
* energy: -0.380 Ry per atom
* ΔE to the lowest computed polymorph: 0.0 kJ/mol of atoms
* magnetic moment: 0.000 μB/atom

a = 5.3005 Å, b = 5.3005 Å, c = 3.8724 Å
α = 90.00°, β = 90.00°, γ = 90.00°
With the nearest neighbours (Å) after each atom.
Space group P4/mmm (No. 123)
Symmetry-distinct sites (fractional):
Na (0.0000, 0.0000, 0.0000)  8 P 3.28
Sc (0.5000, 0.5000, 0.5000)  2 O 1.94
P (0.0000, 0.5000, 0.5000)  2 Sc 2.65
O (0.5000, 0.5000, 0.0000)  2 Sc 1.94



# 5
## NaScP2O6 (PBE)

Data for a relaxed NaScP2O6 crystal.

* formation energy from raw total energies: -2146 kJ/mol of formula units
* energy: -0.518 Ry per atom
* magnetic moment: 0.200 μB/atom

a = 5.2034 Å, b = 5.2034 Å, c = 17.2283 Å
α = 90.00°, β = 90.00°, γ = 120.00°
With the nearest neighbours (Å) after each atom.
Space group R-3 (No. 148, hexagonal axes)
Symmetry-distinct sites (fractional):
Na (0.0000, 0.0000, 0.0000)  6 O 2.59
Sc (0.0000, 0.0000, 0.5000)  6 O 2.13
P (0.0000, 0.0000, 0.2617)  3 O 1.55
O (0.0297, 0.3983, 0.9045)  1 P 1.55



# 6
## Na4Sc2P3O12 (PBE)

Data for a relaxed Na4Sc2P3O12 crystal.

* formation energy from raw total energies: -5071 kJ/mol of formula units
* energy: -0.512 Ry per atom
* magnetic moment: 0.048 μB/atom

a = 9.3062 Å, b = 9.3062 Å, c = 21.1316 Å
α = 90.00°, β = 90.00°, γ = 120.00°
With the nearest neighbours (Å) after each atom.
Space group R-3c (No. 167, hexagonal axes)
Symmetry-distinct sites (fractional):
Na (0.0000, 0.0000, 0.0000)  6 O 2.45
Na (0.0000, 0.3623, 0.2500)  6 O 2.46-2.65
Sc (0.0000, 0.0000, 0.1558)  6 O 2.11-2.25
P (0.0000, 0.3088, 0.7500)  4 O 1.55-1.56
O (0.0079, 0.1831, 0.4153)  1 P 1.56
O (0.0119, 0.2192, 0.6900)  1 P 1.55